# InFeRe4

A geometry-optimized InFeRe4 structure (GGA-PBE, Alexandria).

Total energy ... -57.44 eV/cell
Theoretical density ... 15097 kg/m3
Formation energy ... 0.59 eV per atom

abc: 5.222 5.222 5.222
angles: 60.00 60.00 60.00
Site moments in Bohr magnetons follow the coordinates.
Atoms (fractional coordinates):
Re 0.874 0.375 0.375  0.03
Re 0.375 0.375 0.874  0.03
Re 0.375 0.375 0.375  0.03
Re 0.375 0.874 0.375  0.03
In 0.000 0.000 0.000  0.01
Fe 0.750 0.750 0.750  3.02